{
  "formula": "Pu2InAu",
  "functional": "GGA-PBE",
  "state": "relaxed",
  "energy_ev_per_atom": -8.847,
  "lattice": [[0.000, 3.716, 3.716], [3.716, 0.000, 3.716], [3.716, 3.716, 0.000]],
  "species": ["Pu", "Pu", "In", "Au"],
  "fractional_positions": [[0.250, 0.250, 0.250], [0.750, 0.750, 0.750], [0.000, 0.000, 0.000], [0.500, 0.500, 0.500]]
}